Record 1
Below is crystalline Tb2Er7Mg at its relaxed geometry, with properties calculated at the PBE-GGA level.

Values from the calculation:
total DFT energy (no corrections) = -35.91 eV per cell
space-group type = No. 65
magnetic moment = 0.00 Bohr magnetons per cell
crystal system = orthorhombic

a = 9.2535 Å, b = 9.2535 Å, c = 5.2730 Å
α = 90.00°, β = 90.00°, γ = 124.50°
Element x y z (fractional)
1 Tb 0.2052 0.7948 0.0000
2 Tb 0.7948 0.2052 0.0000
3 Er 0.0000 0.0000 0.0000
4 Er 0.2157 0.4289 0.0000
5 Er 0.2999 0.7001 0.5000
6 Er 0.4289 0.2157 0.0000
7 Er 0.5711 0.7843 0.0000
8 Er 0.7001 0.2999 0.5000
9 Er 0.7843 0.5711 0.0000
10 Mg 0.5000 0.5000 0.5000

=====

Record 2
Below is crystalline Tb3Ce2ScAs6 at its relaxed geometry, with properties calculated at the PBE-GGA level.

Values from the calculation:
total DFT energy (no corrections) = -77.49 eV per cell
space-group type = No. 12
magnetic moment = 1.14 Bohr magnetons per cell
crystal system = monoclinic

a = 9.2165 Å, b = 9.2165 Å, c = 8.2508 Å
α = 103.05°, β = 103.05°, γ = 25.90°
Element x y z (fractional)
1 Tb 0.0000 0.0000 0.0000
2 Tb 0.3327 0.3327 0.6650
3 Tb 0.6673 0.6673 0.3350
4 Ce 0.3357 0.3357 0.1703
5 Ce 0.6643 0.6643 0.8297
6 Sc 0.0000 0.0000 0.5000
7 As 0.1623 0.1623 0.5789
8 As 0.1665 0.1665 0.0847
9 As 0.4986 0.4986 0.7389
10 As 0.5014 0.5014 0.2611
11 As 0.8335 0.8335 0.9153
12 As 0.8377 0.8377 0.4211